Entry 1:
Compound: Tb2NdAu
Source: Alexandria via LeMat-Bulk
Functional: PBE-GGA
Structure: optimized geometry

```
16
Lattice="6.702 0.000 0.000 0.000 7.029 0.000 0.000 0.000 10.053" Properties=species:S:1:pos:R:3 pbc="T T T"
Nd 0.867 7.009 7.540
Nd 5.836 0.020 2.513
Nd 2.484 3.495 7.540
Nd 4.218 3.535 2.513
Tb 2.156 1.309 4.495
Tb 1.195 4.824 4.495
Tb 5.507 2.206 5.558
Tb 1.195 4.824 0.531
Tb 4.546 5.721 5.558
Tb 5.507 2.206 9.522
Tb 2.156 1.309 0.531
Tb 4.546 5.721 9.522
Au 2.883 6.284 2.513
Au 6.234 4.260 7.540
Au 0.468 2.769 2.513
Au 3.819 0.745 7.540
```

## Properties
Crystal system: orthorhombic
Spin magnetization (μB/cell): 0.0
DOS at the Fermi energy (states/eV/f.u.): 4.83
Space-group type: No. 62
Raw total energy (Ha/atom): -0.1745

***

Entry 2:
Compound: Y4ThAg5
Source: Alexandria via LeMat-Bulk
Functional: PBE-GGA
Structure: optimized geometry

```
10
Lattice="-3.199 0.022 1.691 -0.183 -3.601 -0.300 8.723 -1.817 16.521" Properties=species:S:1:pos:R:3 pbc="T T T"
Ag 2.671 -2.698 8.956
Ag 0.953 -2.341 5.703
Ag -0.730 -1.990 2.516
Ag 4.388 -3.056 12.209
Ag 6.071 -3.407 15.397
Y 1.789 -0.373 3.389
Y 3.500 -0.729 6.630
Y 6.934 -1.444 13.132
Y 5.222 -1.088 9.891
Th 0.000 0.000 0.000
```

## Properties
Crystal system: tetragonal
Spin magnetization (μB/cell): 0.0
DOS at the Fermi energy (states/eV/f.u.): 6.77
Space-group type: No. 123
Raw total energy (Ha/atom): -0.1846

***

Entry 3:
Compound: Dy2Ni3As4Ir
Source: Alexandria via LeMat-Bulk
Functional: PBE-GGA
Structure: optimized geometry

```
10
Lattice="4.177 0.000 0.000 0.000 4.177 0.000 0.000 0.000 9.572" Properties=species:S:1:pos:R:3 pbc="T T T"
Ni 0.000 2.089 1.142
Ni 2.089 0.000 8.430
Ni 0.000 0.000 4.786
Dy 2.089 0.000 2.370
Dy 0.000 2.089 7.202
As 0.000 0.000 0.000
As 2.089 2.089 0.000
As 2.089 0.000 6.122
As 0.000 2.089 3.451
Ir 2.089 2.089 4.786
```

## Properties
Crystal system: tetragonal
Spin magnetization (μB/cell): 0.0
DOS at the Fermi energy (states/eV/f.u.): 3.84
Space-group type: No. 115
Raw total energy (Ha/atom): -0.2261

***

> Number 1 is which compound?

Tb2NdAu